PBE-GGA ZrFeAu2, optimized geometry; M_tot = 2.17 Bohr magnetons per cell; ΔH_f (0 K) = -0.1454 eV/atom
1.0
0.0000 3.2385 3.2385
3.2385 0.0000 3.2385
3.2385 3.2385 0.0000
Zr Au Fe
1 2 1
direct
0.5000 0.5000 0.5000
0.0000 0.0000 0.0000
0.2500 0.2500 0.2500
0.7500 0.7500 0.7500

PBE-GGA Zn3As2O8, optimized geometry; distance to the lowest polymorph of the same formula = 0.00 kJ per mole of atoms
1.0
-5.3133 0.1875 0.0796
-0.2133 -2.6344 -8.0310
0.6310 -7.2661 2.3667
O As Zn
16 4 6
direct
0.3223 0.1370 0.5259
0.5828 0.0646 0.8615
0.9375 0.1246 0.2497
0.1593 0.8007 0.3896
0.6777 0.8630 0.4741
0.8407 0.1993 0.6104
0.1777 0.6370 0.9741
0.9172 0.5646 0.6385
0.6593 0.6993 0.8896
0.5625 0.6246 0.2503
0.8223 0.3630 0.0259
0.0625 0.8754 0.7503
0.3407 0.3007 0.1104
0.4375 0.3754 0.7497
0.0828 0.4354 0.3615
0.4172 0.9354 0.1385
0.4486 0.8064 0.3121
0.0514 0.3064 0.1879
0.9486 0.6936 0.8121
0.5514 0.1936 0.6879
0.5000 0.5000 0.0000
0.0000 0.0000 0.5000
0.0997 0.3638 0.6139
0.9003 0.6362 0.3861
0.5997 0.1362 0.1139
0.4003 0.8638 0.8861

PBE-GGA Zr, optimized geometry; M_tot = 0.00 Bohr magnetons per cell; ΔH_f (0 K) = 0.0004 eV/atom; distance to the lowest polymorph of the same formula = 0.04 kJ per mole of atoms
1.0
-1.1850 1.5092 -5.2578
-2.0388 -4.7861 2.0647
-4.1947 2.5049 1.6644
Zr
6
direct
0.0000 0.0000 0.0000
0.3333 0.6667 0.0000
0.6666 0.0000 0.5000
0.3334 0.3334 0.5000
0.6667 0.3333 0.0000
0.0000 0.6666 0.5000

PBE-GGA NdZnHg, optimized geometry; M_tot = 0.15 Bohr magnetons per cell; ΔH_f (0 K) = -0.4097 eV/atom
1.0
-0.9158 -4.1461 -2.1493
3.8468 2.5183 -1.2282
1.9625 -1.7547 2.5487
Hg Nd Zn
1 1 1
direct
0.0000 0.0000 0.1665
0.6667 0.3333 0.6666
0.3333 0.6667 0.1669

PBE-GGA SrDyAgTe2Se, optimized geometry; M_tot = 0.00 Bohr magnetons per cell; total DFT energy (no corrections) = -0.3270 Ry/atom
1.0
2.1513 -7.3807 0.0000
2.1513 7.3807 0.0000
0.0000 0.0000 10.7978
Ag Dy Te Sr Se
2 2 4 2 2
direct
0.9741 0.0259 0.7500
0.0259 0.9741 0.2500
0.5000 0.5000 0.0000
0.5000 0.5000 0.5000
0.8529 0.1471 0.9469
0.8529 0.1471 0.5531
0.1471 0.8529 0.0531
0.1471 0.8529 0.4469
0.2383 0.7617 0.7500
0.7617 0.2383 0.2500
0.5815 0.4185 0.7500
0.4185 0.5815 0.2500

PBE-GGA HfSiMo, optimized geometry; M_tot = 0.00 Bohr magnetons per cell; distance to the lowest polymorph of the same formula = 60.18 kJ per mole of atoms
1.0
0.0000 3.0317 3.0317
3.0317 0.0000 3.0317
3.0317 3.0317 0.0000
Mo Hf Si
1 1 1
direct
0.7500 0.7500 0.7500
0.2500 0.2500 0.2500
0.0000 0.0000 0.0000

PBE-GGA MgInFeAs, optimized geometry; M_tot = 1.99 Bohr magnetons per cell; distance to the lowest polymorph of the same formula = 0.00 kJ per mole of atoms
1.0
0.0000 3.2899 3.2899
3.2899 0.0000 3.2899
3.2899 3.2899 0.0000
In Fe Mg As
1 1 1 1
direct
0.0000 0.0000 0.0000
0.2500 0.2500 0.2500
0.7500 0.7500 0.7500
0.5000 0.5000 0.5000

PBE-GGA KTbAl, optimized geometry; M_tot = 0.01 Bohr magnetons per cell; total DFT energy (no corrections) = -0.1595 Ry/atom
1.0
0.0000 3.6653 3.6653
3.6653 0.0000 3.6653
3.6653 3.6653 0.0000
Al K Tb
1 1 1
direct
0.2500 0.2500 0.2500
0.0000 0.0000 0.0000
0.7500 0.7500 0.7500

PBE-GGA PrZr2ScSb2, optimized geometry; M_tot = 0.04 Bohr magnetons per cell; total DFT energy (no corrections) = -0.5007 Ry/atom
1.0
-4.6459 2.6737 7.0628
-3.1945 7.4344 3.6250
1.3517 -5.3972 -6.9036
Sc Sb Zr Pr
1 2 2 1
direct
0.6709 0.6709 0.0000
0.1332 0.1332 0.0000
0.8695 0.8695 0.0000
0.5031 0.0031 0.5000
0.0031 0.5031 0.5000
0.3204 0.3204 0.0000

PBE-GGA Er7Ir2Se2, optimized geometry; M_tot = 0.00 Bohr magnetons per cell; total DFT energy (no corrections) = -0.4568 Ry/atom
1.0
8.7811 -1.9603 -0.6585
-5.0100 -4.3828 6.0889
3.3779 1.5954 -8.2115
Er Se Ir
7 2 2
direct
0.6113 0.7357 0.8756
0.9400 0.5807 0.3593
0.2214 0.5807 0.6407
0.3210 0.3210 0.0000
0.8601 0.7357 0.1244
0.6302 0.9478 0.6824
0.2653 0.9478 0.3176
0.5791 0.0791 0.5000
0.9821 0.9821 0.0000
0.0086 0.2475 0.7611
0.4863 0.2475 0.2389

PBE-GGA Li2LaPdAu, optimized geometry; M_tot = 0.01 Bohr magnetons per cell; total DFT energy (no corrections) = -0.2977 Ry/atom
1.0
-1.9862 1.9862 6.4728
1.9862 -1.9862 6.4728
1.9862 1.9862 -6.4728
Au La Li Pd
1 1 2 1
direct
0.3883 0.3883 0.0000
0.0084 0.0084 0.0000
0.7486 0.2486 0.5000
0.2486 0.7486 0.5000
0.6060 0.6060 0.0000

PBE-GGA Al2CoCu, optimized geometry; M_tot = 0.02 Bohr magnetons per cell; total DFT energy (no corrections) = -0.3447 Ry/atom
1.0
-0.2231 -3.9800 1.1827
-3.1977 -1.3046 2.3156
-2.8802 -2.5019 -1.6536
Cu Al Co
1 2 1
direct
0.2500 0.2500 0.2500
0.0000 0.0000 0.0000
0.7500 0.7500 0.7500
0.5000 0.5000 0.5000

PBE-GGA ThZn, optimized geometry; M_tot = 0.01 Bohr magnetons per cell; ΔH_f (0 K) = -0.0522 eV/atom
1.0
6.0391 0.0068 0.0000
0.0118 10.4543 0.0000
0.0000 0.0000 4.6284
Zn Th
6 6
direct
0.9234 0.6470 0.0000
0.4215 0.5193 0.0000
0.0393 0.3652 0.0000
0.5404 0.8014 0.0000
0.2831 0.3853 0.5000
0.7840 0.7814 0.5000
0.2679 0.6915 0.5000
0.5276 0.2314 0.0000
0.4592 0.0013 0.5000
0.7667 0.4756 0.5000
0.9590 0.1656 0.5000
0.0276 0.9351 0.0000

PBE-GGA ScBeZn2Cu4, optimized geometry; M_tot = 0.00 Bohr magnetons per cell; total DFT energy (no corrections) = -0.2588 Ry/atom
1.0
4.1477 0.0000 0.0000
0.0000 4.1477 0.0000
0.0000 0.0000 6.1135
Sc Be Zn Cu
1 1 2 4
direct
0.0000 0.0000 0.5000
0.5000 0.5000 0.0000
0.5000 0.5000 0.5000
0.0000 0.0000 0.0000
0.5000 0.0000 0.7819
0.5000 0.0000 0.2181
0.0000 0.5000 0.2181
0.0000 0.5000 0.7819

PBE-GGA ErTm3Ni4, optimized geometry; M_tot = 0.00 Bohr magnetons per cell; ΔH_f (0 K) = -0.5042 eV/atom
1.0
5.3629 0.0000 0.0000
0.0000 4.1313 0.0000
-0.0009 0.0000 6.9762
Tm Er Ni
3 1 4
direct
0.3698 0.5000 0.3202
0.1302 0.5000 0.8203
0.8698 0.0000 0.1798
0.6302 0.0000 0.6798
0.8755 0.5000 0.4620
0.6246 0.5000 0.9622
0.3754 0.0000 0.0380
0.1246 0.0000 0.5379

PBE-GGA AcNbZn, optimized geometry; M_tot = 2.48 Bohr magnetons per cell; ΔH_f (0 K) = 1.2896 eV/atom; distance to the lowest polymorph of the same formula = 57.29 kJ per mole of atoms
1.0
-1.8338 -2.6879 3.8620
-3.8146 1.8250 2.7606
-4.5839 -2.0929 -0.3315
Zn Ac Nb
1 1 1
direct
0.7500 0.7500 0.7500
0.0000 0.0000 0.0000
0.2500 0.2500 0.2500

PBE-GGA CoW3Au, optimized geometry; M_tot = 3.79 Bohr magnetons per cell; ΔH_f (0 K) = 1.9704 eV/atom
1.0
-3.2250 3.2250 4.8612
3.2250 -3.2250 4.8612
3.2250 3.2250 -4.8612
W Au Co
6 2 2
direct
0.1274 0.6274 0.7549
0.6274 0.8726 0.5000
0.8726 0.3726 0.2451
0.2500 0.2500 0.0000
0.3726 0.1274 0.5000
0.7500 0.7500 0.0000
0.5000 0.5000 0.0000
0.0000 0.0000 0.0000
0.7500 0.2500 0.5000
0.2500 0.7500 0.5000

PBE-GGA Zn5Te, optimized geometry; total DFT energy (no corrections) = -0.1048 Ry/atom
1.0
-1.7308 -2.9859 -4.1617
1.6878 1.1145 -5.0140
3.2995 -2.6421 0.5233
Zn Te
5 1
direct
0.3333 0.3333 0.0000
0.5771 0.0000 0.5000
0.0000 0.4229 0.5000
0.4229 0.5771 0.5000
0.6667 0.6667 0.0000
0.0000 0.0000 0.0000

PBE-GGA Cu4Ag, optimized geometry; ΔH_f (0 K) = 0.0635 eV/atom; distance to the lowest polymorph of the same formula = 1.87 kJ per mole of atoms
1.0
-1.5700 1.0136 1.9279
0.5978 -2.9114 2.0175
10.7124 6.0431 5.5467
Ag Cu
2 8
direct
0.0000 0.5000 0.2032
0.0000 0.5000 0.7968
0.0000 0.5000 0.5937
0.5000 0.0000 0.9074
0.5000 0.0000 0.5000
0.5000 0.0000 0.6858
0.0000 0.5000 0.4063
0.5000 0.0000 0.0926
0.0000 0.5000 0.0000
0.5000 0.0000 0.3142

PBE-GGA CsHoZnSe3, optimized geometry; M_tot = 0.02 Bohr magnetons per cell; total DFT energy (no corrections) = -0.3149 Ry/atom
1.0
-2.2950 -1.5838 7.9378
1.5427 -3.1543 7.6456
4.1778 9.6269 3.1287
Se Ho Cs Zn
6 2 2 2
direct
0.6150 0.6150 0.5585
0.9431 0.9431 0.7500
0.6150 0.6150 0.9415
0.3850 0.3850 0.4415
0.0569 0.0569 0.2500
0.3850 0.3850 0.0585
0.0000 0.0000 0.5000
0.0000 0.0000 0.0000
0.7454 0.7454 0.2500
0.2546 0.2546 0.7500
0.5362 0.5362 0.7500
0.4638 0.4638 0.2500

PBE-GGA K2Nd2O5, optimized geometry; M_tot = 2.01 Bohr magnetons per cell; distance to the lowest polymorph of the same formula = 0.00 kJ per mole of atoms
1.0
9.0505 0.0000 0.0000
0.0000 4.4479 0.0000
0.0000 0.0000 4.4479
O Nd K
5 2 2
direct
0.8019 0.0000 0.5000
0.1981 0.5000 0.0000
0.1981 0.0000 0.5000
0.8019 0.5000 0.0000
0.5000 0.5000 0.5000
0.2560 0.5000 0.5000
0.7440 0.5000 0.5000
0.5000 0.0000 0.0000
0.0000 0.0000 0.0000

PBE-GGA HoZrPb, optimized geometry; M_tot = 0.02 Bohr magnetons per cell; distance to the lowest polymorph of the same formula = 0.00 kJ per mole of atoms
1.0
4.3982 0.0000 0.0000
0.0000 4.3982 0.0000
0.0000 0.0000 8.2808
Ho Pb Zr
2 2 2
direct
0.0000 0.5000 0.1646
0.5000 0.0000 0.8354
0.5000 0.0000 0.2252
0.0000 0.5000 0.7748
0.5000 0.5000 0.5000
0.0000 0.0000 0.5000

PBE-GGA GaSbMo, optimized geometry; M_tot = 0.00 Bohr magnetons per cell; distance to the lowest polymorph of the same formula = 0.00 kJ per mole of atoms
1.0
2.3541 -3.8772 -0.0304
-2.1565 -3.9662 0.4406
-0.3143 -2.8164 -3.5418
Mo Sb Ga
1 1 1
direct
0.0000 0.0000 0.0000
0.2500 0.2500 0.2500
0.5000 0.5000 0.5000

PBE-GGA GdYAl4Pd2, optimized geometry; M_tot = 0.00 Bohr magnetons per cell; total DFT energy (no corrections) = -0.3932 Ry/atom
1.0
6.9481 0.0000 0.0000
0.0000 2.1444 5.1636
0.0000 -2.1444 5.1636
Al Y Pd Gd
4 1 2 1
direct
0.1958 0.8570 0.8570
0.6969 0.1427 0.1427
0.8042 0.8570 0.8570
0.3031 0.1427 0.1427
0.0000 0.5709 0.5709
0.0000 0.2890 0.2890
0.5000 0.7112 0.7112
0.5000 0.4295 0.4295

PBE-GGA SrPuIr, optimized geometry; M_tot = 6.07 Bohr magnetons per cell; total DFT energy (no corrections) = -0.5742 Ry/atom
1.0
0.0000 3.4303 3.4303
3.4303 0.0000 3.4303
3.4303 3.4303 0.0000
Ir Sr Pu
1 1 1
direct
0.7500 0.7500 0.7500
0.2500 0.2500 0.2500
0.0000 0.0000 0.0000